(1)
Below is crystalline Ca2AlSi4Ir3 at its relaxed geometry, with properties calculated at the GGA-PBE level.

abc: 4.0735 4.0735 10.4407
angles: 90.00 90.00 90.00
Closest atoms and distances in Å follow each position.
Fractional positions:
Ca 0.5000 0.0000 0.2461  8 Si 3.11-3.28, 6 Ir 3.15-3.34, 2 Al 3.34
Ca 0.0000 0.5000 0.7539  8 Si 3.11-3.28, 6 Ir 3.15-3.34, 2 Al 3.34
Al 0.5000 0.5000 0.5000  4 Si 2.52
Si 0.5000 0.5000 0.0000  4 Ir 2.41
Si 0.0000 0.0000 0.0000  4 Ir 2.41
Si 0.5000 0.0000 0.6421  3 Ir 2.44-2.52, 2 Al 2.52
Si 0.0000 0.5000 0.3579  3 Ir 2.44-2.52, 2 Al 2.52
Ir 0.0000 0.0000 0.5000  4 Si 2.52
Ir 0.5000 0.0000 0.8758  5 Si 2.41-2.44
Ir 0.0000 0.5000 0.1242  5 Si 2.41-2.44

Properties
Total moment, μB per formula unit: 0.00
Fermi-level density of states, states/eV/f.u.: 5.26
Raw formation energy, eV/atom: -0.7395

(2)
Below is crystalline Ca2AlSi2Ir5 at its relaxed geometry, with properties calculated at the GGA-PBE level.

abc: 3.2157 10.0209 10.0209
angles: 90.00 90.00 90.00
Closest atoms and distances in Å follow each position.
Fractional positions:
Ca 0.0000 0.6736 0.1736  3 Si 2.81-3.05, 10 Ir 2.94-3.14
Ca 0.0000 0.3264 0.8264  3 Si 2.81-3.05, 10 Ir 2.94-3.14
Ca 0.0000 0.1736 0.3264  3 Si 2.81-3.05, 10 Ir 2.94-3.14
Ca 0.0000 0.8264 0.6736  3 Si 2.81-3.05, 10 Ir 2.94-3.14
Al 0.0000 0.0000 0.0000  8 Ir 2.69
Al 0.0000 0.5000 0.5000  8 Ir 2.69
Si 0.0000 0.1278 0.6278  6 Ir 2.40-2.42
Si 0.0000 0.8722 0.3722  6 Ir 2.40-2.42
Si 0.0000 0.6278 0.8722  6 Ir 2.40-2.42
Si 0.0000 0.3722 0.1278  6 Ir 2.40-2.42
Ir 0.5000 0.2051 0.0661  2 Si 2.40
Ir 0.5000 0.7949 0.9339  2 Si 2.40
Ir 0.5000 0.0661 0.7949  2 Si 2.40
Ir 0.5000 0.7051 0.4339  2 Si 2.40
Ir 0.5000 0.9339 0.2051  2 Si 2.40
Ir 0.5000 0.2949 0.5661  2 Si 2.40
Ir 0.5000 0.5661 0.7051  2 Si 2.40
Ir 0.5000 0.4339 0.2949  2 Si 2.40
Ir 0.5000 0.5000 0.0000  4 Si 2.42
Ir 0.5000 0.0000 0.5000  4 Si 2.42

Properties
Total moment, μB per formula unit: 0.00
Fermi-level density of states, states/eV/f.u.: 3.34
Raw formation energy, eV/atom: -0.6784

(3)
Below is crystalline Sr2CaAl12Ir3 at its relaxed geometry, with properties calculated at the GGA-PBE level.

abc: 8.5578 8.5578 8.5578
angles: 62.01 62.01 62.01
Closest atoms and distances in Å follow each position.
Fractional positions:
Sr 0.5907 0.5907 0.5907  9 Al 3.20-3.56
Sr 0.4093 0.4093 0.4093  9 Al 3.20-3.56
Ca 0.0000 0.0000 0.0000  6 Al 3.52
Al 0.3013 0.3013 0.8828  2 Ir 2.37
Al 0.8354 0.8354 0.4906  1 Ir 2.46
Al 0.4906 0.8354 0.8354  1 Ir 2.46
Al 0.8828 0.3013 0.3013  2 Ir 2.37
Al 0.8354 0.4906 0.8354  1 Ir 2.46
Al 0.3013 0.8828 0.3013  2 Ir 2.37
Al 0.6987 0.6987 0.1172  2 Ir 2.37
Al 0.1646 0.1646 0.5094  1 Ir 2.46
Al 0.5094 0.1646 0.1646  1 Ir 2.46
Al 0.1172 0.6987 0.6987  2 Ir 2.37
Al 0.1646 0.5094 0.1646  1 Ir 2.46
Al 0.6987 0.1172 0.6987  2 Ir 2.37
Ir 0.5000 0.0000 0.0000  6 Al 2.37-2.46
Ir 0.0000 0.5000 0.0000  6 Al 2.37-2.46
Ir 0.0000 0.0000 0.5000  6 Al 2.37-2.46

Properties
Total moment, μB per formula unit: 0.00
Fermi-level density of states, states/eV/f.u.: 9.83
Total DFT energy (no corrections), eV per atom: -4.31

(4)
Below is crystalline CaTaAlIr2 at its relaxed geometry, with properties calculated at the GGA-PBE level.

abc: 4.1687 4.1687 6.3646
angles: 109.12 109.12 90.00
Closest atoms and distances in Å follow each position.
Fractional positions:
Ca 0.0000 0.0000 0.0000  8 Ir 3.23, 4 Ta 3.51, 4 Al 3.51
Ta 0.2500 0.7500 0.5000  4 Ir 2.57
Al 0.7500 0.2500 0.5000  4 Ir 2.57
Ir 0.6166 0.6166 0.2332  2 Ta 2.57, 2 Al 2.57, 1 Ir 2.63
Ir 0.3834 0.3834 0.7668  2 Ta 2.57, 2 Al 2.57, 1 Ir 2.63

Properties
Total moment, μB per formula unit: 0.00
Fermi-level density of states, states/eV/f.u.: 3.14
Total DFT energy (no corrections), eV per atom: -7.73

(5)
Below is crystalline CaTiAlIr2 at its relaxed geometry, with properties calculated at the GGA-PBE level.

abc: 4.1197 4.1197 6.2984
angles: 109.09 109.09 90.00
Closest atoms and distances in Å follow each position.
Fractional positions:
Ca 0.0000 0.0000 0.0000  8 Ir 3.19, 4 Al 3.47, 4 Ti 3.47
Ti 0.2500 0.7500 0.5000  4 Ir 2.55
Al 0.7500 0.2500 0.5000  4 Ir 2.55
Ir 0.6161 0.6161 0.2321  2 Al 2.55, 2 Ti 2.55, 1 Ir 2.59
Ir 0.3839 0.3839 0.7679  2 Al 2.55, 2 Ti 2.55, 1 Ir 2.59

Properties
Total moment, μB per formula unit: 0.00
Fermi-level density of states, states/eV/f.u.: 2.92
Total DFT energy (no corrections), eV per atom: -7.03

(6)
Below is crystalline CaY2AlIr at its relaxed geometry, with properties calculated at the GGA-PBE level.

abc: 5.4335 5.4335 4.9080
angles: 90.00 90.00 90.00
Closest atoms and distances in Å follow each position.
Fractional positions:
Y 0.0000 0.5000 0.0000  2 Ir 2.72
Y 0.5000 0.0000 0.0000  2 Ir 2.72
Ca 0.5000 0.5000 0.5000  8 Y 3.66, 4 Al 3.84
Ir 0.0000 0.0000 0.0000  2 Al 2.45, 4 Y 2.72
Al 0.0000 0.0000 0.5000  2 Ir 2.45

Properties
Total moment, μB per formula unit: 0.00
Fermi-level density of states, states/eV/f.u.: 2.68
Total DFT energy (no corrections), eV per atom: -5.86

(7)
Below is crystalline Ca2AlZnIr2 at its relaxed geometry, with properties calculated at the GGA-PBE level.

abc: 5.8979 5.9023 8.1770
angles: 111.16 111.14 90.00
Closest atoms and distances in Å follow each position.
Fractional positions:
Ca 0.4136 0.1725 0.3450  5 Ir 3.05-3.15, 2 Zn 3.18, 2 Al 3.22
Ca 0.5864 0.8275 0.6550  5 Ir 3.05-3.15, 2 Zn 3.18, 2 Al 3.22
Ca 0.0687 0.3275 0.6550  5 Ir 3.05-3.15, 2 Zn 3.18, 2 Al 3.22
Ca 0.9313 0.6725 0.3450  5 Ir 3.05-3.15, 2 Zn 3.18, 2 Al 3.22
Al 0.5000 0.7500 0.0000  4 Ir 2.50
Al 0.5000 0.2500 0.0000  4 Ir 2.50
Zn 0.0000 0.7500 0.0000  4 Ir 2.61
Zn 0.0000 0.2500 0.0000  4 Ir 2.61
Ir 0.8375 0.1045 0.2090  2 Al 2.50, 2 Zn 2.61
Ir 0.3716 0.6045 0.2090  2 Al 2.50, 2 Zn 2.61
Ir 0.6284 0.3955 0.7910  2 Al 2.50, 2 Zn 2.61
Ir 0.1625 0.8955 0.7910  2 Al 2.50, 2 Zn 2.61

Properties
Total moment, μB per formula unit: 0.00
Fermi-level density of states, states/eV/f.u.: 2.04
Total DFT energy (no corrections), eV per atom: -4.97

(8)
Below is crystalline Ca2Al4ZnIr3 at its relaxed geometry, with properties calculated at the GGA-PBE level.

abc: 4.1818 4.1818 10.6372
angles: 90.00 90.00 90.00
Closest atoms and distances in Å follow each position.
Fractional positions:
Ca 0.5000 0.0000 0.2462  6 Ir 3.19-3.42, 8 Al 3.22-3.35, 2 Zn 3.42
Ca 0.0000 0.5000 0.7538  6 Ir 3.19-3.42, 8 Al 3.22-3.35, 2 Zn 3.42
Al 0.5000 0.5000 0.0000  4 Ir 2.52
Al 0.0000 0.0000 0.0000  4 Ir 2.52
Al 0.5000 0.0000 0.6331  3 Ir 2.49-2.53, 2 Zn 2.53
Al 0.0000 0.5000 0.3669  3 Ir 2.49-2.53, 2 Zn 2.53
Zn 0.5000 0.5000 0.5000  4 Al 2.53
Ir 0.0000 0.0000 0.5000  4 Al 2.53
Ir 0.5000 0.0000 0.8672  5 Al 2.49-2.52
Ir 0.0000 0.5000 0.1328  5 Al 2.49-2.52

Properties
Total moment, μB per formula unit: 0.00
Fermi-level density of states, states/eV/f.u.: 3.77
Total DFT energy (no corrections), eV per atom: -5.32

(9)
Below is crystalline CaZrAl2Ir at its relaxed geometry, with properties calculated at the GGA-PBE level.

abc: 5.2272 4.8900 5.2272
angles: 90.00 90.00 90.00
Closest atoms and distances in Å follow each position.
Fractional positions:
Ca 0.5000 0.5000 0.5000  8 Al 3.58, 4 Ir 3.70
Ir 0.0000 0.5000 0.0000  2 Zr 2.44
Al 0.0000 0.0000 0.5000  2 Zr 2.61
Al 0.5000 0.0000 0.0000  2 Zr 2.61
Zr 0.0000 0.0000 0.0000  2 Ir 2.44, 4 Al 2.61

Properties
Total moment, μB per formula unit: 0.00
Fermi-level density of states, states/eV/f.u.: 4.12
Total DFT energy (no corrections), eV per atom: -4.92

(10)
Below is crystalline KCa2Al2 at its relaxed geometry, with properties calculated at the GGA-PBE level.

abc: 5.7560 5.7560 6.6554
angles: 64.38 64.38 90.00
Closest atoms and distances in Å follow each position.
Fractional positions:
Ca 0.7500 0.2500 0.5000  4 Al 3.19
Ca 0.2500 0.7500 0.5000  4 Al 3.19
K 0.0000 0.0000 0.0000  8 Ca 3.90, 10 Al 4.01-4.26
Al 0.3808 0.3808 0.2384  1 Al 2.51
Al 0.6192 0.6192 0.7616  1 Al 2.51

Properties
Total moment, μB per formula unit: 0.00
Energy above the most stable polymorph in this dataset, kJ/mol of formula units: 46
Fermi-level density of states, states/eV/f.u.: 2.35

(11)
Below is crystalline KCaAl at its relaxed geometry, with properties calculated at the GGA-PBE level.

abc: 5.6169 5.6169 5.6169
angles: 60.00 60.00 60.00
Closest atoms and distances in Å follow each position.
Fractional positions:
Ca 0.0000 0.0000 0.0000  4 Al 3.44
K 0.5000 0.5000 0.5000  4 Al 3.44
Al 0.7500 0.7500 0.7500  4 K 3.44, 4 Ca 3.44

Properties
Total moment, μB per formula unit: 1.41
Energy above the most stable polymorph in this dataset, kJ/mol of formula units: 67
Fermi-level density of states, states/eV/f.u.: 4.83

(12)
Below is crystalline KCaAl at its relaxed geometry, with properties calculated at the GGA-PBE level.

abc: 5.5591 5.5591 5.5591
angles: 60.00 60.00 60.00
Closest atoms and distances in Å follow each position.
Fractional positions:
Ca 0.5000 0.5000 0.5000  4 K 3.40
K 0.7500 0.7500 0.7500  4 Ca 3.40, 4 Al 3.40
Al 0.0000 0.0000 0.0000  4 K 3.40

Properties
Total moment, μB per formula unit: 0.21
Energy above the most stable polymorph in this dataset, kJ/mol of formula units: 172
Fermi-level density of states, states/eV/f.u.: 4.80